{
  "formula": "ErZn8Ga2Cu",
  "functional": "PBE",
  "state": "relaxed",
  "e_form_mev_per_atom": -75,
  "volume_a3_per_atom": 16.78,
  "magmom_total_mub_per_cell": 0.000,
  "lattice_angstrom": [[4.513, -0.188, -0.578], [1.915, 4.091, -0.578], [-0.660, -0.401, 10.818]],
  "species": ["Zn", "Zn", "Zn", "Zn", "Zn", "Zn", "Zn", "Zn", "Ga", "Ga", "Er", "Cu"],
  "frac_coords": [[0.330, 0.330, 0.958], [0.192, 0.700, 0.190], [0.808, 0.300, 0.810], [0.259, 0.259, 0.333], [0.700, 0.192, 0.190], [0.670, 0.670, 0.042], [0.300, 0.808, 0.810], [0.741, 0.741, 0.667], [0.372, 0.372, 0.615], [0.628, 0.628, 0.385], [0.000, 0.000, 0.500], [0.000, 0.000, 0.000]]
}

{
  "formula": "ErZnGa3Cu",
  "functional": "PBE",
  "state": "relaxed",
  "e_form_mev_per_atom": -103,
  "volume_a3_per_atom": 18.40,
  "magmom_total_mub_per_cell": 0.000,
  "lattice_angstrom": [[5.730, 0.000, 0.000], [0.000, 5.521, 0.000], [0.000, -2.761, 6.978]],
  "species": ["Zn", "Zn", "Cu", "Cu", "Ga", "Ga", "Ga", "Ga", "Ga", "Ga", "Er", "Er"],
  "frac_coords": [[0.750, 0.657, 0.314], [0.250, 0.343, 0.686], [0.250, 0.889, 0.778], [0.750, 0.111, 0.222], [0.250, 0.139, 0.278], [0.500, 0.731, 0.000], [0.000, 0.269, 0.000], [0.000, 0.731, 0.000], [0.750, 0.861, 0.722], [0.500, 0.269, 0.000], [0.750, 0.312, 0.623], [0.250, 0.688, 0.377]]
}

{
  "formula": "Er2ZnGa3Cu12",
  "functional": "PBE",
  "state": "relaxed",
  "e_form_mev_per_atom": 35,
  "volume_a3_per_atom": 15.86,
  "magmom_total_mub_per_cell": 0.000,
  "lattice_angstrom": [[-11.022, 3.793, -3.006], [-10.454, -0.613, -5.937], [-11.968, -0.980, -0.848]],
  "species": ["Cu", "Cu", "Cu", "Cu", "Cu", "Cu", "Cu", "Cu", "Cu", "Cu", "Cu", "Cu", "Ga", "Ga", "Ga", "Er", "Er", "Zn"],
  "frac_coords": [[0.886, 0.886, 0.393], [0.600, 0.600, 0.129], [0.600, 0.129, 0.600], [0.871, 0.400, 0.400], [0.393, 0.886, 0.886], [0.607, 0.114, 0.114], [0.886, 0.393, 0.886], [0.400, 0.400, 0.871], [0.114, 0.607, 0.114], [0.114, 0.114, 0.607], [0.400, 0.871, 0.400], [0.129, 0.600, 0.600], [0.000, 0.500, 0.000], [0.500, 0.000, 0.000], [0.000, 0.000, 0.500], [0.642, 0.642, 0.642], [0.358, 0.358, 0.358], [0.000, 0.000, 0.000]]
}

{
  "formula": "ErZn6GaCu",
  "functional": "PBE",
  "state": "relaxed",
  "e_form_mev_per_atom": -8,
  "volume_a3_per_atom": 18.05,
  "magmom_total_mub_per_cell": 0.000,
  "lattice_angstrom": [[6.784, 0.000, 0.000], [0.000, 8.889, 0.000], [-3.392, -4.445, 5.387]],
  "species": ["Zn", "Zn", "Zn", "Zn", "Zn", "Zn", "Zn", "Zn", "Zn", "Zn", "Zn", "Zn", "Ga", "Ga", "Cu", "Cu", "Er", "Er"],
  "frac_coords": [[0.066, 0.860, 0.748], [0.682, 0.387, 0.748], [0.066, 0.387, 0.748], [0.318, 0.140, 0.252], [0.934, 0.140, 0.252], [0.318, 0.613, 0.252], [0.006, 0.756, 0.012], [0.682, 0.860, 0.748], [0.934, 0.613, 0.252], [0.994, 0.244, 0.988], [0.575, 0.825, 0.150], [0.425, 0.175, 0.850], [0.000, 0.000, 0.500], [0.500, 0.000, 0.500], [0.500, 0.500, 0.000], [0.500, 0.000, 0.000], [0.299, 0.549, 0.599], [0.701, 0.451, 0.401]]
}

{
  "formula": "ErZnGaCu",
  "functional": "PBE",
  "state": "relaxed",
  "e_form_mev_per_atom": -315,
  "volume_a3_per_atom": 17.14,
  "magmom_total_mub_per_cell": 0.000,
  "lattice_angstrom": [[4.594, 0.000, 0.000], [2.297, 3.978, 0.000], [2.297, 1.326, 3.751]],
  "species": ["Cu", "Ga", "Er", "Zn"],
  "frac_coords": [[0.250, 0.250, 0.250], [0.500, 0.500, 0.500], [0.000, 0.000, 0.000], [0.750, 0.750, 0.750]]
}

{
  "formula": "ErZnGaCu6",
  "functional": "PBE",
  "state": "relaxed",
  "e_form_mev_per_atom": 87,
  "volume_a3_per_atom": 15.88,
  "magmom_total_mub_per_cell": 0.000,
  "lattice_angstrom": [[-6.128, -2.785, -1.332], [-0.353, -3.092, 8.088], [1.087, 6.982, -1.926]],
  "species": ["Cu", "Cu", "Cu", "Cu", "Cu", "Cu", "Cu", "Cu", "Cu", "Cu", "Cu", "Cu", "Zn", "Zn", "Ga", "Ga", "Er", "Er"],
  "frac_coords": [[0.947, 0.623, 0.256], [0.981, 0.231, 0.962], [0.053, 0.377, 0.744], [0.947, 0.133, 0.256], [0.691, 0.867, 0.744], [0.418, 0.168, 0.836], [0.309, 0.133, 0.256], [0.691, 0.377, 0.744], [0.053, 0.867, 0.744], [0.582, 0.832, 0.164], [0.019, 0.769, 0.038], [0.309, 0.623, 0.256], [0.000, 0.000, 0.500], [0.500, 0.000, 0.500], [0.500, 0.500, 0.000], [0.500, 0.000, 0.000], [0.714, 0.464, 0.428], [0.286, 0.536, 0.572]]
}

{
  "formula": "Er2Zn3Ga4Cu",
  "functional": "PBE",
  "state": "relaxed",
  "e_form_mev_per_atom": -391,
  "volume_a3_per_atom": 17.98,
  "magmom_total_mub_per_cell": 0.000,
  "lattice_angstrom": [[4.145, 0.000, 0.000], [0.000, 4.145, 0.000], [0.000, 0.000, 10.469]],
  "species": ["Ga", "Ga", "Ga", "Ga", "Zn", "Zn", "Zn", "Er", "Er", "Cu"],
  "frac_coords": [[0.500, 0.500, 0.000], [0.000, 0.000, 0.000], [0.000, 0.500, 0.370], [0.500, 0.000, 0.630], [0.500, 0.000, 0.858], [0.000, 0.500, 0.142], [0.000, 0.000, 0.500], [0.000, 0.500, 0.743], [0.500, 0.000, 0.257], [0.500, 0.500, 0.500]]
}

{
  "formula": "Er4Zn2GaCu",
  "functional": "PBE",
  "state": "relaxed",
  "e_form_mev_per_atom": -386,
  "volume_a3_per_atom": 21.72,
  "magmom_total_mub_per_cell": 0.000,
  "lattice_angstrom": [[-3.199, -3.345, -1.811], [-2.834, -2.659, 3.098], [-7.774, 3.709, 0.059]],
  "species": ["Ga", "Er", "Er", "Er", "Er", "Zn", "Zn", "Cu"],
  "frac_coords": [[0.000, 0.000, 0.000], [0.623, 0.623, 0.130], [0.377, 0.377, 0.870], [0.127, 0.127, 0.620], [0.873, 0.873, 0.380], [0.749, 0.749, 0.752], [0.251, 0.251, 0.248], [0.500, 0.500, 0.500]]
}

{
  "formula": "ErZnGa2Cu",
  "functional": "PBE",
  "state": "relaxed",
  "e_form_mev_per_atom": -414,
  "volume_a3_per_atom": 17.61,
  "magmom_total_mub_per_cell": 0.000,
  "lattice_angstrom": [[4.085, 0.000, 0.000], [0.000, 4.085, 0.000], [-2.043, -2.043, 5.274]],
  "species": ["Cu", "Er", "Zn", "Ga", "Ga"],
  "frac_coords": [[0.250, 0.750, 0.500], [0.000, 0.000, 0.000], [0.750, 0.250, 0.500], [0.385, 0.385, 0.770], [0.615, 0.615, 0.230]]
}

{
  "formula": "Er4ZnGaCu2",
  "functional": "PBE",
  "state": "relaxed",
  "e_form_mev_per_atom": -365,
  "volume_a3_per_atom": 21.38,
  "magmom_total_mub_per_cell": 0.000,
  "lattice_angstrom": [[-1.632, -1.216, 4.503], [-1.671, -4.568, 0.872], [6.359, -4.261, 3.866]],
  "species": ["Er", "Er", "Er", "Er", "Cu", "Cu", "Zn", "Ga"],
  "frac_coords": [[0.875, 0.875, 0.376], [0.625, 0.625, 0.126], [0.125, 0.125, 0.624], [0.375, 0.375, 0.874], [0.752, 0.752, 0.745], [0.248, 0.248, 0.255], [0.500, 0.500, 0.500], [0.000, 0.000, 0.000]]
}

{
  "formula": "ErZrGaCu",
  "functional": "PBE",
  "state": "relaxed",
  "e_form_mev_per_atom": -324,
  "volume_a3_per_atom": 19.81,
  "magmom_total_mub_per_cell": 0.654,
  "lattice_angstrom": [[4.821, 0.000, 0.000], [2.410, 4.175, 0.000], [2.410, 1.392, 3.936]],
  "species": ["Er", "Ga", "Cu", "Zr"],
  "frac_coords": [[0.000, 0.000, 0.000], [0.750, 0.750, 0.750], [0.250, 0.250, 0.250], [0.500, 0.500, 0.500]]
}

{
  "formula": "GdEr2Cu",
  "functional": "PBE",
  "state": "relaxed",
  "e_form_mev_per_atom": -105,
  "e_above_lowest_polymorph_kj_per_mol_fu": 0,
  "volume_a3_per_atom": 26.09,
  "magmom_total_mub_per_cell": 7.668,
  "lattice_angstrom": [[3.467, 0.000, 0.000], [0.000, 3.467, 0.000], [0.000, 0.000, 8.683]],
  "species": ["Er", "Er", "Gd", "Cu"],
  "frac_coords": [[0.000, 0.000, 0.806], [0.000, 0.000, 0.194], [0.500, 0.500, 0.500], [0.500, 0.500, 0.000]]
}

{
  "formula": "GdErCu",
  "functional": "PBE",
  "state": "relaxed",
  "e_form_mev_per_atom": -140,
  "e_above_lowest_polymorph_kj_per_mol_fu": 0,
  "volume_a3_per_atom": 24.76,
  "magmom_total_mub_per_cell": 7.898,
  "lattice_angstrom": [[3.487, 0.000, 0.000], [0.000, 3.487, 0.000], [-1.744, -1.744, 6.107]],
  "species": ["Er", "Gd", "Cu"],
  "frac_coords": [[0.303, 0.303, 0.607], [0.023, 0.023, 0.047], [0.673, 0.673, 0.346]]
}

{
  "formula": "GdErCu2",
  "functional": "PBE",
  "state": "relaxed",
  "e_form_mev_per_atom": -239,
  "e_above_lowest_polymorph_kj_per_mol_fu": 3,
  "volume_a3_per_atom": 20.96,
  "magmom_total_mub_per_cell": 7.144,
  "lattice_angstrom": [[-2.356, -4.002, -1.604], [1.241, -4.434, 1.714], [-3.053, -2.419, 2.994]],
  "species": ["Er", "Cu", "Cu", "Gd"],
  "frac_coords": [[0.000, 0.000, 0.000], [0.750, 0.750, 0.750], [0.250, 0.250, 0.250], [0.500, 0.500, 0.500]]
}

{
  "formula": "GdErCu2",
  "functional": "PBE",
  "state": "relaxed",
  "e_form_mev_per_atom": -18,
  "e_above_lowest_polymorph_kj_per_mol_fu": 88,
  "volume_a3_per_atom": 23.68,
  "magmom_total_mub_per_cell": 7.586,
  "lattice_angstrom": [[-1.551, 3.377, 1.648], [-2.559, -0.264, 3.148], [3.749, 1.345, 5.785]],
  "species": ["Gd", "Er", "Cu", "Cu"],
  "frac_coords": [[0.500, 0.500, 0.500], [0.000, 0.000, 0.000], [0.253, 0.253, 0.240], [0.747, 0.747, 0.760]]
}

{
  "formula": "GdErCu",
  "functional": "PBE",
  "state": "relaxed",
  "e_form_mev_per_atom": 53,
  "e_above_lowest_polymorph_kj_per_mol_fu": 56,
  "volume_a3_per_atom": 26.83,
  "magmom_total_mub_per_cell": 7.559,
  "lattice_angstrom": [[-1.913, 3.390, 2.887], [-4.582, -0.418, 1.524], [-0.925, -1.015, 4.648]],
  "species": ["Gd", "Cu", "Er"],
  "frac_coords": [[0.500, 0.500, 0.500], [0.250, 0.250, 0.250], [0.000, 0.000, 0.000]]
}

{
  "formula": "GdEr2Cu",
  "functional": "PBE",
  "state": "relaxed",
  "e_form_mev_per_atom": 428,
  "e_above_lowest_polymorph_kj_per_mol_fu": 206,
  "volume_a3_per_atom": 28.15,
  "magmom_total_mub_per_cell": 7.040,
  "lattice_angstrom": [[3.434, 0.000, 0.000], [1.717, 2.974, 0.000], [1.717, 0.991, 11.024]],
  "species": ["Cu", "Gd", "Er", "Er"],
  "frac_coords": [[0.000, 0.000, 0.000], [0.500, 0.500, 0.500], [0.918, 0.918, 0.246], [0.082, 0.082, 0.754]]
}

{
  "formula": "GdErCu2",
  "functional": "PBE",
  "state": "relaxed",
  "e_form_mev_per_atom": -247,
  "e_above_lowest_polymorph_kj_per_mol_fu": 0,
  "volume_a3_per_atom": 20.87,
  "magmom_total_mub_per_cell": 7.220,
  "lattice_angstrom": [[-3.325, -0.283, -0.886], [-0.230, -2.937, 1.801], [-1.828, 3.637, 5.697]],
  "species": ["Er", "Cu", "Cu", "Gd"],
  "frac_coords": [[0.500, 0.500, 0.000], [0.000, 0.000, 0.765], [0.000, 0.000, 0.235], [0.500, 0.500, 0.500]]
}

{
  "formula": "GdErCuGe",
  "functional": "PBE",
  "state": "relaxed",
  "e_form_mev_per_atom": -500,
  "volume_a3_per_atom": 21.76,
  "magmom_total_mub_per_cell": 7.633,
  "lattice_angstrom": [[4.974, 0.000, 0.000], [2.487, 4.308, 0.000], [2.487, 1.436, 4.062]],
  "species": ["Cu", "Ge", "Gd", "Er"],
  "frac_coords": [[0.750, 0.750, 0.750], [0.250, 0.250, 0.250], [0.000, 0.000, 0.000], [0.500, 0.500, 0.500]]
}

{
  "formula": "GdErCuHg",
  "functional": "PBE",
  "state": "relaxed",
  "e_form_mev_per_atom": -327,
  "volume_a3_per_atom": 23.68,
  "magmom_total_mub_per_cell": 7.107,
  "lattice_angstrom": [[5.117, 0.000, 0.000], [2.558, 4.431, 0.000], [2.558, 1.477, 4.178]],
  "species": ["Gd", "Cu", "Er", "Hg"],
  "frac_coords": [[0.500, 0.500, 0.500], [0.250, 0.250, 0.250], [0.000, 0.000, 0.000], [0.750, 0.750, 0.750]]
}